# YBeIr4, relaxed, DFT PBE-GGA
data_YBeIr4
_chemical_formula_sum 'Y1 Be1 Ir4'
_symmetry_space_group_name_H-M 'P 1'
_symmetry_Int_Tables_number 1
_symmetry_space_group_name_Hall 'P 1'
_cell_length_a 5.238
_cell_length_b 5.238
_cell_length_c 5.238
_cell_angle_alpha 60.00
_cell_angle_beta 60.00
_cell_angle_gamma 60.00
loop_
_atom_site_label
_atom_site_fract_x
_atom_site_fract_y
_atom_site_fract_z
Y1 0.000 0.000 0.000
Be1 0.250 0.250 0.250
Ir1 0.127 0.624 0.624
Ir2 0.624 0.127 0.624
Ir3 0.624 0.624 0.127
Ir4 0.624 0.624 0.624
# D(E_F) ... 1.0794 states/eV/atom

***

# YBeIr2, relaxed, DFT PBE-GGA
data_YBeIr2
_chemical_formula_sum 'Y1 Be1 Ir2'
_symmetry_space_group_name_H-M 'P 1'
_symmetry_Int_Tables_number 1
_symmetry_space_group_name_Hall 'P 1'
_cell_length_a 5.082
_cell_length_b 5.082
_cell_length_c 5.082
_cell_angle_alpha 135.03
_cell_angle_beta 135.03
_cell_angle_gamma 65.48
loop_
_atom_site_label
_atom_site_fract_x
_atom_site_fract_y
_atom_site_fract_z
Y1 0.000 0.000 0.000
Be1 0.250 0.750 0.500
Ir1 0.500 0.500 0.000
Ir2 0.750 0.250 0.500
# D(E_F) ... 1.1989 states/eV/atom

***

# YBe2Ir, relaxed, DFT PBE-GGA
data_YBe2Ir
_chemical_formula_sum 'Y1 Be2 Ir1'
_symmetry_space_group_name_H-M 'P 1'
_symmetry_Int_Tables_number 1
_symmetry_space_group_name_Hall 'P 1'
_cell_length_a 3.907
_cell_length_b 3.907
_cell_length_c 4.063
_cell_angle_alpha 90.00
_cell_angle_beta 90.00
_cell_angle_gamma 90.00
loop_
_atom_site_label
_atom_site_fract_x
_atom_site_fract_y
_atom_site_fract_z
Y1 0.000 0.000 0.000
Be1 0.000 0.500 0.500
Be2 0.500 0.000 0.500
Ir1 0.500 0.500 0.000
# D(E_F) ... 0.4566 states/eV/atom
# Relative energy among the computed polymorphs ... 577 meV per atom

***

# YBe2Ir, relaxed, DFT PBE-GGA
data_YBe2Ir
_chemical_formula_sum 'Y2 Be4 Ir2'
_symmetry_space_group_name_H-M 'P 1'
_symmetry_Int_Tables_number 1
_symmetry_space_group_name_Hall 'P 1'
_cell_length_a 8.339
_cell_length_b 8.339
_cell_length_c 8.339
_cell_angle_alpha 150.55
_cell_angle_beta 150.55
_cell_angle_gamma 42.14
loop_
_atom_site_label
_atom_site_fract_x
_atom_site_fract_y
_atom_site_fract_z
Y1 0.375 0.625 0.750
Y2 0.625 0.375 0.250
Be1 0.000 0.000 0.000
Be2 0.000 0.000 0.500
Be3 0.000 0.500 0.000
Be4 0.500 0.000 0.500
Ir1 0.125 0.875 0.250
Ir2 0.875 0.125 0.750
# D(E_F) ... 0.5067 states/eV/atom
# Relative energy among the computed polymorphs ... 265 meV per atom

***

# YBe2Ir, relaxed, DFT PBE-GGA
data_YBe2Ir
_chemical_formula_sum 'Y1 Be2 Ir1'
_symmetry_space_group_name_H-M 'P 1'
_symmetry_Int_Tables_number 1
_symmetry_space_group_name_Hall 'P 1'
_cell_length_a 3.088
_cell_length_b 3.592
_cell_length_c 5.526
_cell_angle_alpha 90.00
_cell_angle_beta 106.19
_cell_angle_gamma 90.00
loop_
_atom_site_label
_atom_site_fract_x
_atom_site_fract_y
_atom_site_fract_z
Y1 0.000 0.000 0.000
Be1 0.643 0.500 0.288
Be2 0.739 0.000 0.481
Ir1 0.304 0.500 0.610
# D(E_F) ... 0.5489 states/eV/atom
# Relative energy among the computed polymorphs ... 217 meV per atom

***

# YBeIr2, relaxed, DFT PBE-GGA
data_YBeIr2
_chemical_formula_sum 'Y1 Be1 Ir2'
_symmetry_space_group_name_H-M 'P 1'
_symmetry_Int_Tables_number 1
_symmetry_space_group_name_Hall 'P 1'
_cell_length_a 5.455
_cell_length_b 5.455
_cell_length_c 5.455
_cell_angle_alpha 45.37
_cell_angle_beta 45.37
_cell_angle_gamma 45.37
loop_
_atom_site_label
_atom_site_fract_x
_atom_site_fract_y
_atom_site_fract_z
Y1 0.000 0.000 0.000
Be1 0.500 0.500 0.500
Ir1 0.192 0.192 0.192
Ir2 0.808 0.808 0.808
# D(E_F) ... 0.9280 states/eV/atom

***

# YBeIr2, relaxed, DFT PBE-GGA
data_YBeIr2
_chemical_formula_sum 'Y1 Be1 Ir2'
_symmetry_space_group_name_H-M 'P 1'
_symmetry_Int_Tables_number 1
_symmetry_space_group_name_Hall 'P 1'
_cell_length_a 5.302
_cell_length_b 5.302
_cell_length_c 5.302
_cell_angle_alpha 47.31
_cell_angle_beta 47.31
_cell_angle_gamma 47.31
loop_
_atom_site_label
_atom_site_fract_x
_atom_site_fract_y
_atom_site_fract_z
Y1 0.000 0.000 0.000
Be1 0.193 0.193 0.193
Ir1 0.498 0.498 0.498
Ir2 0.805 0.805 0.805
# D(E_F) ... 0.4600 states/eV/atom

***

# YBeIr2, relaxed, DFT PBE-GGA
data_YBeIr2
_chemical_formula_sum 'Y1 Be1 Ir2'
_symmetry_space_group_name_H-M 'P 1'
_symmetry_Int_Tables_number 1
_symmetry_space_group_name_Hall 'P 1'
_cell_length_a 5.247
_cell_length_b 5.247
_cell_length_c 2.907
_cell_angle_alpha 104.61
_cell_angle_beta 104.61
_cell_angle_gamma 114.51
loop_
_atom_site_label
_atom_site_fract_x
_atom_site_fract_y
_atom_site_fract_z
Y1 0.000 0.000 0.000
Be1 0.500 0.500 0.000
Ir1 0.000 0.500 0.500
Ir2 0.500 0.000 0.500
# D(E_F) ... 0.6094 states/eV/atom

***

# YBeIr2, relaxed, DFT PBE-GGA
data_YBeIr2
_chemical_formula_sum 'Y1 Be1 Ir2'
_symmetry_space_group_name_H-M 'P 1'
_symmetry_Int_Tables_number 1
_symmetry_space_group_name_Hall 'P 1'
_cell_length_a 4.558
_cell_length_b 4.558
_cell_length_c 5.157
_cell_angle_alpha 110.38
_cell_angle_beta 110.38
_cell_angle_gamma 41.43
loop_
_atom_site_label
_atom_site_fract_x
_atom_site_fract_y
_atom_site_fract_z
Y1 0.000 0.000 0.000
Be1 0.500 0.500 0.500
Ir1 0.215 0.215 0.677
Ir2 0.785 0.785 0.323
# D(E_F) ... 0.5888 states/eV/atom

***

# YBe2Ir, relaxed, DFT PBE-GGA
data_YBe2Ir
_chemical_formula_sum 'Y1 Be2 Ir1'
_symmetry_space_group_name_H-M 'P 1'
_symmetry_Int_Tables_number 1
_symmetry_space_group_name_Hall 'P 1'
_cell_length_a 4.270
_cell_length_b 4.270
_cell_length_c 3.184
_cell_angle_alpha 90.00
_cell_angle_beta 90.00
_cell_angle_gamma 90.00
loop_
_atom_site_label
_atom_site_fract_x
_atom_site_fract_y
_atom_site_fract_z
Y1 0.000 0.000 0.000
Be1 0.000 0.500 0.500
Be2 0.500 0.000 0.500
Ir1 0.500 0.500 0.000
# D(E_F) ... 0.7086 states/eV/atom
# Relative energy among the computed polymorphs ... 672 meV per atom

***

# YBe2Ir, relaxed, DFT PBE-GGA
data_YBe2Ir
_chemical_formula_sum 'Y2 Be4 Ir2'
_symmetry_space_group_name_H-M 'P 1'
_symmetry_Int_Tables_number 1
_symmetry_space_group_name_Hall 'P 1'
_cell_length_a 3.880
_cell_length_b 3.880
_cell_length_c 9.639
_cell_angle_alpha 90.00
_cell_angle_beta 90.00
_cell_angle_gamma 120.00
loop_
_atom_site_label
_atom_site_fract_x
_atom_site_fract_y
_atom_site_fract_z
Y1 0.333 0.667 0.250
Y2 0.667 0.333 0.750
Be1 0.333 0.667 0.546
Be2 0.333 0.667 0.954
Be3 0.667 0.333 0.046
Be4 0.667 0.333 0.454
Ir1 0.000 0.000 0.000
Ir2 0.000 0.000 0.500
# D(E_F) ... 0.5532 states/eV/atom
# Relative energy among the computed polymorphs ... 11 meV per atom

***

# Y3BeIr, relaxed, DFT PBE-GGA
data_Y3BeIr
_chemical_formula_sum 'Y3 Be1 Ir1'
_symmetry_space_group_name_H-M 'P 1'
_symmetry_Int_Tables_number 1
_symmetry_space_group_name_Hall 'P 1'
_cell_length_a 5.344
_cell_length_b 5.344
_cell_length_c 5.344
_cell_angle_alpha 90.00
_cell_angle_beta 90.00
_cell_angle_gamma 90.00
loop_
_atom_site_label
_atom_site_fract_x
_atom_site_fract_y
_atom_site_fract_z
Y1 0.000 0.000 0.500
Y2 0.000 0.500 0.000
Y3 0.500 0.000 0.000
Be1 0.500 0.500 0.500
Ir1 0.000 0.000 0.000
# D(E_F) ... 1.1666 states/eV/atom
# Relative energy among the computed polymorphs ... 0 meV per atom

***

# YBe2Ir, relaxed, DFT PBE-GGA
data_YBe2Ir
_chemical_formula_sum 'Y1 Be2 Ir1'
_symmetry_space_group_name_H-M 'P 1'
_symmetry_Int_Tables_number 1
_symmetry_space_group_name_Hall 'P 1'
_cell_length_a 4.425
_cell_length_b 4.425
_cell_length_c 3.058
_cell_angle_alpha 90.12
_cell_angle_beta 90.12
_cell_angle_gamma 103.87
loop_
_atom_site_label
_atom_site_fract_x
_atom_site_fract_y
_atom_site_fract_z
Y1 0.000 0.000 0.000
Be1 0.000 0.500 0.500
Be2 0.500 0.000 0.500
Ir1 0.500 0.500 0.000
# D(E_F) ... 0.3185 states/eV/atom
# Relative energy among the computed polymorphs ... 625 meV per atom

***

# Y3BeIr2, relaxed, DFT PBE-GGA
data_Y3BeIr2
_chemical_formula_sum 'Y12 Be4 Ir8'
_symmetry_space_group_name_H-M 'P 1'
_symmetry_Int_Tables_number 1
_symmetry_space_group_name_Hall 'P 1'
_cell_length_a 11.218
_cell_length_b 3.948
_cell_length_c 11.627
_cell_angle_alpha 90.00
_cell_angle_beta 90.00
_cell_angle_gamma 90.00
loop_
_atom_site_label
_atom_site_fract_x
_atom_site_fract_y
_atom_site_fract_z
Y1 0.059 0.250 0.120
Y2 0.122 0.750 0.558
Y3 0.202 0.250 0.806
Y4 0.298 0.750 0.306
Y5 0.378 0.250 0.058
Y6 0.441 0.750 0.620
Y7 0.559 0.250 0.380
Y8 0.622 0.750 0.942
Y9 0.702 0.250 0.694
Y10 0.798 0.750 0.194
Y11 0.878 0.250 0.442
Y12 0.941 0.750 0.880
Be1 0.126 0.250 0.370
Be2 0.374 0.750 0.870
Be3 0.626 0.250 0.130
Be4 0.874 0.750 0.630
Ir1 0.034 0.750 0.318
Ir2 0.195 0.750 0.982
Ir3 0.305 0.250 0.482
Ir4 0.466 0.250 0.818
Ir5 0.534 0.750 0.182
Ir6 0.695 0.750 0.518
Ir7 0.805 0.250 0.018
Ir8 0.966 0.250 0.682
# D(E_F) ... 0.6456 states/eV/atom

***

# Y2BeIr, relaxed, DFT PBE-GGA
data_Y2BeIr
_chemical_formula_sum 'Y4 Be2 Ir2'
_symmetry_space_group_name_H-M 'P 1'
_symmetry_Int_Tables_number 1
_symmetry_space_group_name_Hall 'P 1'
_cell_length_a 5.622
_cell_length_b 3.978
_cell_length_c 8.061
_cell_angle_alpha 90.00
_cell_angle_beta 108.45
_cell_angle_gamma 90.00
loop_
_atom_site_label
_atom_site_fract_x
_atom_site_fract_y
_atom_site_fract_z
Y1 0.209 0.250 0.427
Y2 0.282 0.750 0.070
Y3 0.718 0.250 0.930
Y4 0.791 0.750 0.573
Be1 0.333 0.750 0.724
Be2 0.667 0.250 0.276
Ir1 0.158 0.250 0.777
Ir2 0.842 0.750 0.223
# D(E_F) ... 0.6650 states/eV/atom

***

# YBeIr2, relaxed, DFT PBE-GGA
data_YBeIr2
_chemical_formula_sum 'Y2 Be2 Ir4'
_symmetry_space_group_name_H-M 'P 1'
_symmetry_Int_Tables_number 1
_symmetry_space_group_name_Hall 'P 1'
_cell_length_a 8.283
_cell_length_b 8.283
_cell_length_c 8.283
_cell_angle_alpha 147.52
_cell_angle_beta 147.52
_cell_angle_gamma 46.59
loop_
_atom_site_label
_atom_site_fract_x
_atom_site_fract_y
_atom_site_fract_z
Y1 0.000 0.000 0.000
Y2 0.750 0.250 0.500
Be1 0.250 0.750 0.500
Be2 0.500 0.500 0.000
Ir1 0.296 0.125 0.671
Ir2 0.375 0.704 0.829
Ir3 0.454 0.625 0.329
Ir4 0.875 0.546 0.171
# D(E_F) ... 0.9015 states/eV/atom

***

# YBe2Ir, relaxed, DFT PBE-GGA
data_YBe2Ir
_chemical_formula_sum 'Y1 Be2 Ir1'
_symmetry_space_group_name_H-M 'P 1'
_symmetry_Int_Tables_number 1
_symmetry_space_group_name_Hall 'P 1'
_cell_length_a 4.317
_cell_length_b 4.317
_cell_length_c 4.317
_cell_angle_alpha 60.00
_cell_angle_beta 60.00
_cell_angle_gamma 60.00
loop_
_atom_site_label
_atom_site_fract_x
_atom_site_fract_y
_atom_site_fract_z
Y1 0.000 0.000 0.000
Be1 0.250 0.250 0.250
Be2 0.750 0.750 0.750
Ir1 0.500 0.500 0.500
# D(E_F) ... 0.7596 states/eV/atom
# Relative energy among the computed polymorphs ... 264 meV per atom

***

# YBeIr2, relaxed, DFT PBE-GGA
data_YBeIr2
_chemical_formula_sum 'Y1 Be1 Ir2'
_symmetry_space_group_name_H-M 'P 1'
_symmetry_Int_Tables_number 1
_symmetry_space_group_name_Hall 'P 1'
_cell_length_a 5.357
_cell_length_b 5.357
_cell_length_c 5.357
_cell_angle_alpha 146.19
_cell_angle_beta 130.59
_cell_angle_gamma 61.21
loop_
_atom_site_label
_atom_site_fract_x
_atom_site_fract_y
_atom_site_fract_z
Y1 0.000 0.000 0.000
Be1 0.277 0.777 0.500
Ir1 0.469 0.469 0.000
Ir2 0.727 0.227 0.500
# D(E_F) ... 0.9681 states/eV/atom

***

# Y3Be2Ir5, relaxed, DFT PBE-GGA
data_Y3Be2Ir5
_chemical_formula_sum 'Y6 Be4 Ir10'
_symmetry_space_group_name_H-M 'P 1'
_symmetry_Int_Tables_number 1
_symmetry_space_group_name_Hall 'P 1'
_cell_length_a 9.869
_cell_length_b 9.869
_cell_length_c 3.396
_cell_angle_alpha 90.00
_cell_angle_beta 90.00
_cell_angle_gamma 90.00
loop_
_atom_site_label
_atom_site_fract_x
_atom_site_fract_y
_atom_site_fract_z
Y1 0.000 0.000 0.000
Y2 0.177 0.323 0.000
Y3 0.323 0.823 0.000
Y4 0.500 0.500 0.000
Y5 0.677 0.177 0.000
Y6 0.823 0.677 0.000
Be1 0.118 0.618 0.000
Be2 0.382 0.118 0.000
Be3 0.618 0.882 0.000
Be4 0.882 0.382 0.000
Ir1 0.000 0.500 0.500
Ir2 0.070 0.775 0.500
Ir3 0.225 0.070 0.500
Ir4 0.275 0.570 0.500
Ir5 0.430 0.275 0.500
Ir6 0.500 0.000 0.500
Ir7 0.570 0.725 0.500
Ir8 0.725 0.430 0.500
Ir9 0.775 0.930 0.500
Ir10 0.930 0.225 0.500
# D(E_F) ... 0.5335 states/eV/atom

***

# Y2BeIr, relaxed, DFT PBE-GGA
data_Y2BeIr
_chemical_formula_sum 'Y2 Be1 Ir1'
_symmetry_space_group_name_H-M 'P 1'
_symmetry_Int_Tables_number 1
_symmetry_space_group_name_Hall 'P 1'
_cell_length_a 3.204
_cell_length_b 3.204
_cell_length_c 8.013
_cell_angle_alpha 90.00
_cell_angle_beta 90.00
_cell_angle_gamma 90.00
loop_
_atom_site_label
_atom_site_fract_x
_atom_site_fract_y
_atom_site_fract_z
Y1 0.000 0.000 0.000
Y2 0.500 0.500 0.390
Be1 0.000 0.000 0.642
Ir1 0.500 0.500 0.752
# D(E_F) ... 1.2861 states/eV/atom

***

What energy of formation values result from the calculations? In sequence: -154 -162 47 -265 -313 -392 -394 -32 -306 142 -520 145 95 -699 -532 -194 -266 -211 -737 -262 meV/atom.